SCAN CaW2Se, PBEsol geometry; formation energy (no corrections) = 0.98 eV/atom; total magnetic moment = 0.00 μB/f.u.
1.0
2.770 0.000 0.000
0.000 5.057 0.000
0.000 0.000 5.306
Ca W Se
1 2 1
direct
0.000 0.000 0.000
0.500 0.500 0.241
0.500 0.500 0.759
0.000 0.000 0.500